[1]
The following is a PBE calculation of a relaxed NaNb3Ge crystal, from Alexandria via LeMat-Bulk.

## Properties
Its crystal system is cubic. Its energy of formation from the pure elements is 1.030 eV per atom. The space group is No. 221.

a = 4.8774 Å, b = 4.8774 Å, c = 4.8774 Å
α = 90.00°, β = 90.00°, γ = 90.00°
Last column: nearest neighbours and their distance in Å.
Atoms (fractional coordinates):
Na 0.5000 0.5000 0.5000  12 Nb 3.45
Nb 0.0000 0.5000 0.0000  2 Ge 2.44
Nb 0.0000 0.0000 0.5000  2 Ge 2.44
Ge 0.0000 0.0000 0.0000  6 Nb 2.44
Nb 0.5000 0.0000 0.0000  2 Ge 2.44

---

[2]
The following is a PBE calculation of a relaxed Na2TiTlSb crystal, from Alexandria via LeMat-Bulk.

## Properties
The calculation puts the raw formation energy at 0.604 eV/atom. Its crystal system is tetragonal. The space group is No. 123.

a = 5.3327 Å, b = 5.3327 Å, c = 5.3480 Å
α = 90.00°, β = 90.00°, γ = 90.00°
Last column: nearest neighbours and their distance in Å.
Atoms (fractional coordinates):
Ti 0.0000 0.0000 0.5000  2 Tl 2.67
Na 0.5000 0.0000 0.0000  2 Tl 2.67
Sb 0.5000 0.5000 0.5000  4 Ti 3.77, 8 Na 3.78
Tl 0.0000 0.0000 0.0000  4 Na 2.67, 2 Ti 2.67
Na 0.0000 0.5000 0.0000  2 Tl 2.67

---

[3]
The following is a PBE calculation of a relaxed Be2CrHg crystal, from Alexandria via LeMat-Bulk.

## Properties
Its crystal system is cubic. Its energy of formation from the pure elements is 0.532 eV per atom. The space group is No. 216.

a = 4.2603 Å, b = 4.2603 Å, c = 4.2603 Å
α = 60.00°, β = 60.00°, γ = 60.00°
Last column: nearest neighbours and their distance in Å.
Atoms (fractional coordinates):
Hg 0.7500 0.7500 0.7500  4 Be 2.61, 4 Cr 2.61
Be 0.2500 0.2500 0.2500  4 Cr 2.61, 4 Be 2.61
Be 0.0000 0.0000 0.0000  4 Hg 2.61, 4 Be 2.61
Cr 0.5000 0.5000 0.5000  4 Be 2.61, 4 Hg 2.61

---

[4]
The following is a PBE calculation of a relaxed Sr3BiAu8 crystal, from Alexandria via LeMat-Bulk.

## Properties
Its crystal system is trigonal. Its energy of formation from the pure elements is -0.523 eV per atom. The space group is No. 160.

a = 5.7582 Å, b = 5.7582 Å, c = 10.2808 Å
α = 73.74°, β = 73.74°, γ = 60.00°
Last column: nearest neighbours and their distance in Å.
Atoms (fractional coordinates):
Au 0.4378 0.9438 0.1806  6 Au 2.84-2.99
Au 0.9371 0.9371 0.6924  6 Au 2.86-2.98
Bi 0.8717 0.8717 0.3848  12 Au 3.36-3.50, 4 Sr 3.45-3.51
Au 0.4333 0.9371 0.6924  6 Au 2.86-2.98
Au 0.9371 0.4333 0.6924  6 Au 2.86-2.98
Au 0.1874 0.1874 0.4377  6 Au 2.98-2.99
Sr 0.3772 0.3772 0.8685  12 Au 3.35-3.45, 3 Sr 3.65
Sr 0.9922 0.9922 0.0235  12 Au 3.26-3.62, 1 Bi 3.51, 3 Sr 3.65
Au 0.4378 0.4378 0.1806  6 Au 2.84-2.99
Au 0.9438 0.4378 0.1806  6 Au 2.84-2.99
Au 0.6879 0.6879 0.9362  6 Au 2.90-2.91
Sr 0.5065 0.5065 0.4804  12 Au 3.35-3.54, 3 Bi 3.45

---

[5]
The following is a PBE calculation of a relaxed BaMn2Tc crystal, from Alexandria via LeMat-Bulk.

## Properties
Its crystal system is tetragonal. Its energy of formation from the pure elements is 0.901 eV per atom. The space group is No. 141.

a = 5.2250 Å, b = 5.2250 Å, c = 8.6851 Å
α = 72.49°, β = 72.49°, γ = 90.00°
Last column: nearest neighbours and their distance in Å.
Atoms (fractional coordinates):
Ba 0.0000 0.0000 0.0000  8 Mn 3.52, 4 Tc 3.69
Ba 0.7500 0.2500 0.5000  8 Mn 3.52, 4 Tc 3.69
Tc 0.2500 0.7500 0.5000  4 Mn 2.36
Tc 0.5000 0.5000 0.0000  4 Mn 2.36
Mn 0.8750 0.6250 0.7500  2 Tc 2.36, 2 Mn 2.61
Mn 0.3750 0.6250 0.2500  2 Tc 2.36, 2 Mn 2.61
Mn 0.3750 0.6250 0.7500  2 Tc 2.36, 2 Mn 2.61
Mn 0.3750 0.1250 0.2500  2 Tc 2.36, 2 Mn 2.61

---

[6]
The following is a PBE calculation of a relaxed Bi3SbPd3 crystal, from Alexandria via LeMat-Bulk.

## Properties
The calculation puts the raw formation energy at -0.235 eV/atom. Its crystal system is trigonal. The space group is No. 148.

a = 7.4655 Å, b = 7.4655 Å, c = 7.4655 Å
α = 67.72°, β = 67.72°, γ = 67.72°
Last column: nearest neighbours and their distance in Å.
Atoms (fractional coordinates):
Sb 0.6626 0.6626 0.6626  6 Pd 2.76-2.83
Bi 0.8347 0.3534 0.1161  5 Pd 2.87-3.10
Pd 0.3255 0.9430 0.5319  2 Sb 2.76-2.83, 1 Pd 2.86, 4 Bi 2.87-3.02
Bi 0.6466 0.8839 0.1653  5 Pd 2.87-3.10
Bi 0.1653 0.6466 0.8839  5 Pd 2.87-3.10
Bi 0.1161 0.8347 0.3534  5 Pd 2.87-3.10
Pd 0.6745 0.0570 0.4681  2 Sb 2.76-2.83, 1 Pd 2.86, 4 Bi 2.87-3.02
Bi 0.8839 0.1653 0.6466  5 Pd 2.87-3.10
Pd 0.9430 0.5319 0.3255  2 Sb 2.76-2.83, 1 Pd 2.86, 4 Bi 2.87-3.02
Sb 0.3374 0.3374 0.3374  6 Pd 2.76-2.83
Pd 0.4681 0.6745 0.0570  2 Sb 2.76-2.83, 1 Pd 2.86, 4 Bi 2.87-3.02
Bi 0.3534 0.1161 0.8347  5 Pd 2.87-3.10
Pd 0.5319 0.3255 0.9430  2 Sb 2.76-2.83, 1 Pd 2.86, 4 Bi 2.87-3.02
Pd 0.0570 0.4681 0.6745  2 Sb 2.76-2.83, 1 Pd 2.86, 4 Bi 2.87-3.02

---

[7]
The following is a PBE calculation of a relaxed PmAg2TeS4 crystal, from Alexandria via LeMat-Bulk.

## Properties
The calculation puts the raw formation energy at -0.575 eV/atom. Its crystal system is monoclinic. The space group is No. 15.

a = 8.0307 Å, b = 8.0307 Å, c = 8.5398 Å
α = 114.75°, β = 114.75°, γ = 102.29°
Last column: nearest neighbours and their distance in Å.
Atoms (fractional coordinates):
Ag 0.5000 0.5000 0.0000  4 S 2.49-2.64
S 0.8441 0.7849 0.1165  2 Ag 2.49-2.64, 1 Te 2.66
Te 0.0000 0.0000 0.0000  4 S 2.66-2.68
S 0.7982 0.2216 0.0560  1 Ag 2.38
S 0.7216 0.2982 0.5560  1 Ag 2.38
Ag 0.0000 0.0000 0.5000  4 S 2.49-2.64
S 0.1559 0.2151 0.8835  2 Ag 2.49-2.64, 1 Te 2.66
S 0.7151 0.6559 0.3835  2 Ag 2.49-2.64, 1 Te 2.66
Pm 0.0000 0.5000 0.5000  6 S 2.80-2.87
Ag 0.5000 0.0000 0.5000  2 S 2.38
Te 0.5000 0.5000 0.5000  4 S 2.66-2.68
S 0.2784 0.7018 0.4440  1 Ag 2.38
S 0.2018 0.7784 0.9440  1 Ag 2.38
Pm 0.0000 0.5000 0.0000  6 S 2.80-2.87
S 0.2849 0.3441 0.6165  2 Ag 2.49-2.64, 1 Te 2.66
Ag 0.5000 0.0000 0.0000  2 S 2.38

---

[8]
The following is a PBE calculation of a relaxed PmNdNi3 crystal, from Alexandria via LeMat-Bulk.

## Properties
Its crystal system is orthorhombic. Its energy of formation from the pure elements is -0.329 eV per atom. The space group is No. 63.

a = 4.0459 Å, b = 3.9735 Å, c = 12.4863 Å
α = 99.16°, β = 90.00°, γ = 90.00°
Last column: nearest neighbours and their distance in Å.
Atoms (fractional coordinates):
Nd 0.2500 0.0702 0.1403  12 Ni 3.05-3.21
Ni 0.2500 0.6722 0.3445  2 Ni 2.41
Pm 0.2500 0.7980 0.5961  7 Ni 2.85-3.10
Ni 0.7500 0.6188 0.2376  3 Ni 2.34-2.41
Ni 0.7500 0.5241 0.0481  3 Ni 2.34-2.35
Ni 0.2500 0.4759 0.9519  3 Ni 2.34-2.35
Nd 0.7500 0.9298 0.8597  12 Ni 3.05-3.21
Pm 0.7500 0.2020 0.4039  7 Ni 2.85-3.10
Ni 0.2500 0.3812 0.7624  3 Ni 2.34-2.41
Ni 0.7500 0.3278 0.6555  2 Ni 2.41

---

[9]
The following is a PBE calculation of a relaxed Mg2VAgW crystal, from Alexandria via LeMat-Bulk.

## Properties
Its crystal system is tetragonal. Its energy of formation from the pure elements is 1.552 eV per atom. The space group is No. 123.

a = 4.5940 Å, b = 4.9300 Å, c = 4.5940 Å
α = 90.00°, β = 90.00°, γ = 90.00°
Last column: nearest neighbours and their distance in Å.
Atoms (fractional coordinates):
V 0.0000 0.5000 0.0000  2 Ag 2.46
Mg 0.0000 0.0000 0.5000  2 Ag 2.30
Ag 0.0000 0.0000 0.0000  4 Mg 2.30, 2 V 2.46
W 0.5000 0.5000 0.5000  4 V 3.25, 8 Mg 3.37
Mg 0.5000 0.0000 0.0000  2 Ag 2.30

---

[10]
The following is a PBE calculation of a relaxed ScCr2Ni crystal, from Alexandria via LeMat-Bulk.

## Properties
Its crystal system is trigonal. Its energy of formation from the pure elements is 0.316 eV per atom. The space group is No. 160.

a = 8.0899 Å, b = 8.0899 Å, c = 8.0899 Å
α = 20.45°, β = 20.45°, γ = 20.45°
Last column: nearest neighbours and their distance in Å.
Atoms (fractional coordinates):
Sc 0.7513 0.7513 0.7513  3 Ni 2.71, 3 Cr 2.85, 6 Sc 2.87
Cr 0.2538 0.2538 0.2538  3 Cr 2.29, 3 Ni 2.50
Cr 0.9869 0.9869 0.9869  3 Cr 2.29
Ni 0.5080 0.5080 0.5080  3 Cr 2.50, 3 Sc 2.71

---

[11]
The following is a PBE calculation of a relaxed ReTe3 crystal, from Alexandria via LeMat-Bulk.

## Properties
The calculation puts the raw formation energy at 0.235 eV/atom. Its crystal system is hexagonal. The space group is No. 187.

a = 3.4380 Å, b = 3.4380 Å, c = 10.3102 Å
α = 90.00°, β = 90.00°, γ = 120.00°
Last column: nearest neighbours and their distance in Å.
Atoms (fractional coordinates):
Te 0.6667 0.3333 0.1800  3 Re 2.72
Te 0.6667 0.3333 0.8200  3 Re 2.72
Te 0.0000 0.0000 0.5000  6 Te 3.44
Re 0.0000 0.0000 0.0000  6 Te 2.72

---

[12]
The following is a PBE calculation of a relaxed Li2TeAs crystal, from Alexandria via LeMat-Bulk.

## Properties
The calculation puts the raw formation energy at -0.474 eV/atom. Its crystal system is monoclinic. The space group is No. 12.

a = 4.9652 Å, b = 4.9652 Å, c = 3.3875 Å
α = 89.84°, β = 89.84°, γ = 106.92°
Last column: nearest neighbours and their distance in Å.
Atoms (fractional coordinates):
Te 0.5000 0.0000 0.5000  2 As 2.96, 8 Li 3.00-3.01
Li 0.5000 0.5000 0.0000  2 Li 2.96, 4 As 3.00-3.01, 4 Te 3.00-3.01
As 0.0000 0.5000 0.5000  2 Te 2.96, 8 Li 3.00-3.01
Li 0.0000 0.0000 0.0000  2 Li 2.96, 4 Te 3.00-3.01, 4 As 3.00-3.01

---

Asked for uncorrected energy across the records above, the calculation gives -30.99; -14.00; -15.25; -41.43; -54.05; -65.97; -69.40; -57.01; -20.35; -30.10; -20.93; -13.52 eV for the cell shown in order.
Asked for DOS(E_F) across the records above, the calculation gives 0.4960; 1.1563; 0.5111; 0.2519; 1.4702; 0.4028; 0.2018; 0.9877; 1.2199; 1.1202; 0.8209; 0.2075 states/eV/atom in order.